The following is a DFT calculation (PBE) of an optimized crystal structure of AcAlCu2.

a = 3.370 Å, b = 3.370 Å, c = 7.024 Å
α = 90.00°, β = 90.00°, γ = 90.00°
Positions (direct):
Ac (0.000, 0.000, 0.000)
Al (0.000, 0.000, 0.500)
Cu (0.500, 0.500, 0.320)
Cu (0.500, 0.500, 0.680)

Calculated values
Total DFT energy (no corrections) = -15.961 eV/f.u.
DFT formation energy = 0.021 eV per atom

=====

The following is a DFT calculation (PBE) of an optimized crystal structure of Ac2Al5Cu.

a = 8.946 Å, b = 8.946 Å, c = 9.301 Å
α = 90.00°, β = 90.00°, γ = 150.00°
Positions (direct):
Ac (0.000, 0.000, 0.000)
Ac (0.000, 0.000, 0.500)
Ac (0.203, 0.797, 0.750)
Ac (0.797, 0.203, 0.250)
Al (0.185, 0.815, 0.108)
Al (0.185, 0.815, 0.392)
Al (0.355, 0.645, 0.021)
Al (0.355, 0.645, 0.479)
Al (0.414, 0.586, 0.750)
Al (0.586, 0.414, 0.250)
Al (0.645, 0.355, 0.521)
Al (0.645, 0.355, 0.979)
Al (0.815, 0.185, 0.608)
Al (0.815, 0.185, 0.892)
Cu (0.439, 0.561, 0.250)
Cu (0.561, 0.439, 0.750)

Calculated values
Total DFT energy (no corrections) = -33.563 eV/f.u.
DFT formation energy = -0.317 eV per atom

=====

The following is a DFT calculation (PBE) of an optimized crystal structure of AcAlCu2.

a = 4.326 Å, b = 6.740 Å, c = 5.841 Å
α = 90.00°, β = 90.00°, γ = 90.00°
Positions (direct):
Ac (0.250, 0.250, 0.125)
Ac (0.750, 0.750, 0.875)
Al (0.250, 0.750, 0.346)
Al (0.750, 0.250, 0.654)
Cu (0.250, 0.052, 0.612)
Cu (0.250, 0.448, 0.612)
Cu (0.750, 0.552, 0.388)
Cu (0.750, 0.948, 0.388)

Calculated values
Total DFT energy (no corrections) = -17.238 eV/f.u.
DFT formation energy = -0.299 eV per atom

=====

The following is a DFT calculation (PBE) of an optimized crystal structure of AcAlCu5.

a = 8.334 Å, b = 5.235 Å, c = 10.515 Å
α = 90.00°, β = 90.00°, γ = 90.00°
Positions (direct):
Ac (0.239, 0.250, 0.057)
Ac (0.261, 0.750, 0.557)
Ac (0.739, 0.250, 0.443)
Ac (0.761, 0.750, 0.943)
Al (0.152, 0.750, 0.858)
Al (0.348, 0.250, 0.358)
Al (0.652, 0.750, 0.642)
Al (0.848, 0.250, 0.142)
Cu (0.065, 0.004, 0.307)
Cu (0.065, 0.496, 0.307)
Cu (0.070, 0.750, 0.100)
Cu (0.094, 0.250, 0.514)
Cu (0.177, 0.250, 0.754)
Cu (0.323, 0.750, 0.254)
Cu (0.406, 0.750, 0.014)
Cu (0.430, 0.250, 0.600)
Cu (0.435, 0.504, 0.807)
Cu (0.435, 0.996, 0.807)
Cu (0.565, 0.004, 0.193)
Cu (0.565, 0.496, 0.193)
Cu (0.570, 0.750, 0.400)
Cu (0.594, 0.250, 0.986)
Cu (0.677, 0.250, 0.746)
Cu (0.823, 0.750, 0.246)
Cu (0.906, 0.750, 0.486)
Cu (0.930, 0.250, 0.900)
Cu (0.935, 0.504, 0.693)
Cu (0.935, 0.996, 0.693)

Calculated values
Total DFT energy (no corrections) = -29.623 eV/f.u.
DFT formation energy = -0.184 eV per atom

=====

The following is a DFT calculation (PBE) of an optimized crystal structure of AcAl6Cu3.

a = 9.083 Å, b = 4.330 Å, c = 9.726 Å
α = 90.00°, β = 100.97°, γ = 90.00°
Positions (direct):
Ac (0.194, 0.250, 0.037)
Ac (0.806, 0.750, 0.963)
Al (0.075, 0.750, 0.770)
Al (0.198, 0.250, 0.387)
Al (0.237, 0.750, 0.557)
Al (0.367, 0.750, 0.865)
Al (0.462, 0.250, 0.567)
Al (0.467, 0.750, 0.154)
Al (0.533, 0.250, 0.846)
Al (0.538, 0.750, 0.433)
Al (0.633, 0.250, 0.135)
Al (0.763, 0.250, 0.443)
Al (0.802, 0.750, 0.613)
Al (0.925, 0.250, 0.230)
Cu (0.060, 0.750, 0.309)
Cu (0.240, 0.250, 0.708)
Cu (0.459, 0.250, 0.308)
Cu (0.541, 0.750, 0.692)
Cu (0.760, 0.750, 0.292)
Cu (0.940, 0.250, 0.691)

Calculated values
Total DFT energy (no corrections) = -40.258 eV/f.u.
DFT formation energy = -0.141 eV per atom

=====

The following is a DFT calculation (PBE) of an optimized crystal structure of AcAl3Cu2.

a = 6.736 Å, b = 6.736 Å, c = 5.184 Å
α = 90.00°, β = 90.00°, γ = 74.90°
Positions (direct):
Ac (0.164, 0.836, 0.750)
Ac (0.836, 0.164, 0.250)
Al (0.028, 0.581, 0.250)
Al (0.419, 0.972, 0.250)
Al (0.430, 0.570, 0.250)
Al (0.570, 0.430, 0.750)
Al (0.581, 0.028, 0.750)
Al (0.972, 0.419, 0.750)
Cu (0.299, 0.299, 0.000)
Cu (0.299, 0.299, 0.500)
Cu (0.701, 0.701, 0.000)
Cu (0.701, 0.701, 0.500)

Calculated values
Total DFT energy (no corrections) = -25.639 eV/f.u.
DFT formation energy = -0.352 eV per atom